# PBE KFeP2, optimized geometry
# - E above lowest polymorph: 621.6 meV per atom
# - Spin magnetization: 0.30 μB per atom
data_KFeP2
_symmetry_space_group_name_H-M 'I m m 2'
_symmetry_Int_Tables_number 44
_cell_length_a 3.912
_cell_length_b 6.506
_cell_length_c 8.114
_cell_angle_alpha 90.00
_cell_angle_beta 90.00
_cell_angle_gamma 90.00
loop_
_symmetry_equiv_pos_as_xyz
'x,y,z'
'-x,-y,z'
'-x,y,z'
'x,-y,z'
'x+1/2,y+1/2,z+1/2'
'-x+1/2,-y+1/2,z+1/2'
'-x+1/2,y+1/2,z+1/2'
'x+1/2,-y+1/2,z+1/2'
loop_
_atom_site_label
_atom_site_fract_x
_atom_site_fract_y
_atom_site_fract_z
_atom_site_occupancy
K1 0.000 0.000 0.000 1
Fe1 0.000 0.500 0.100 1
P1 0.000 0.000 0.501 1
P2 0.000 0.500 0.838 1

# PBE Cs3Li2PrBr8, optimized geometry
# - Formation energy (no corrections): -1.725 eV per atom
# - Spin magnetization: 0.00 μB per atom
data_Cs3Li2PrBr8
_symmetry_space_group_name_H-M 'P -3 m 1'
_symmetry_Int_Tables_number 164
_symmetry_space_group_name_Hall '-P 3 2"'
_cell_length_a 8.0095
_cell_length_b 8.0095
_cell_length_c 10.2933
_cell_angle_alpha 90.00
_cell_angle_beta 90.00
_cell_angle_gamma 120.00
loop_
_atom_site_label
_atom_site_fract_x
_atom_site_fract_y
_atom_site_fract_z
_atom_site_occupancy
Cs1 0.0000 0.0000 0.0000 1
Cs2 0.3333 0.6667 0.6477 1
Li1 0.3333 0.6667 0.2078 1
Pr1 0.0000 0.0000 0.5000 1
Br1 0.1683 0.3365 0.3317 1
Br2 0.3333 0.6667 0.9779 1

# PBE SbRh3S, optimized geometry
# - E above lowest polymorph: 0.0 meV per atom
# - Formation energy (no corrections): 0.083 eV per atom
# - Spin magnetization: 0.10 μB per atom
data_SbRh3S
_symmetry_space_group_name_H-M 'P m -3 m'
_symmetry_Int_Tables_number 221
_symmetry_space_group_name_Hall '-P 4 2 3'
_cell_length_a 4.458
_cell_length_b 4.458
_cell_length_c 4.458
_cell_angle_alpha 90.00
_cell_angle_beta 90.00
_cell_angle_gamma 90.00
loop_
_atom_site_label
_atom_site_fract_x
_atom_site_fract_y
_atom_site_fract_z
_atom_site_occupancy
Sb1 0.000 0.000 0.000 1
Rh1 0.000 0.500 0.500 1
S1 0.500 0.500 0.500 1

# PBE K2H2Se, optimized geometry
# - E above lowest polymorph: 0.0 meV per atom
# - Spin magnetization: 0.00 μB per atom
data_K2H2Se
_symmetry_space_group_name_H-M 'C 1 2/c 1'
_symmetry_Int_Tables_number 15
_cell_length_a 9.608
_cell_length_b 5.410
_cell_length_c 9.464
_cell_angle_alpha 90.00
_cell_angle_beta 110.96
_cell_angle_gamma 90.00
loop_
_symmetry_equiv_pos_as_xyz
'x,y,z'
'-x,-y,-z'
'-x,y,-z+1/2'
'x,-y,z+1/2'
'x+1/2,y+1/2,z'
'-x+1/2,-y+1/2,-z'
'-x+1/2,y+1/2,-z+1/2'
'x+1/2,-y+1/2,z+1/2'
loop_
_atom_site_label
_atom_site_fract_x
_atom_site_fract_y
_atom_site_fract_z
_atom_site_occupancy
K1 0.127 0.234 0.127 1
H1 0.221 0.298 0.479 1
Se1 0.000 0.273 0.750 1

# PBE CeDy8Tm2, optimized geometry
# - E above lowest polymorph: 134.2 meV per atom
# - Spin magnetization: 0.10 μB per atom
data_CeDy8Tm2
_symmetry_space_group_name_H-M 'C 1 2/m 1'
_symmetry_Int_Tables_number 12
_cell_length_a 19.045
_cell_length_b 6.876
_cell_length_c 5.523
_cell_angle_alpha 90.00
_cell_angle_beta 92.85
_cell_angle_gamma 90.00
loop_
_symmetry_equiv_pos_as_xyz
'x,y,z'
'-x,-y,-z'
'-x,y,-z'
'x,-y,z'
'x+1/2,y+1/2,z'
'-x+1/2,-y+1/2,-z'
'-x+1/2,y+1/2,-z'
'x+1/2,-y+1/2,z'
loop_
_atom_site_label
_atom_site_fract_x
_atom_site_fract_y
_atom_site_fract_z
_atom_site_occupancy
Ce1 0.000 0.000 0.000 1
Dy1 0.046 0.500 0.238 1
Dy2 0.134 0.266 0.734 1
Dy3 0.188 0.000 0.234 1
Tm1 0.216 0.500 0.250 1

Question: spin magnetization of number 2 (Cs3Li2PrBr8)?
Answer: 0.00 μB per atom

Please write out number 5 again, unchanged.
# PBE CeDy8Tm2, optimized geometry
# - E above lowest polymorph: 134.2 meV per atom
# - Spin magnetization: 0.10 μB per atom
data_CeDy8Tm2
_symmetry_space_group_name_H-M 'C 1 2/m 1'
_symmetry_Int_Tables_number 12
_cell_length_a 19.045
_cell_length_b 6.876
_cell_length_c 5.523
_cell_angle_alpha 90.00
_cell_angle_beta 92.85
_cell_angle_gamma 90.00
loop_
_symmetry_equiv_pos_as_xyz
'x,y,z'
'-x,-y,-z'
'-x,y,-z'
'x,-y,z'
'x+1/2,y+1/2,z'
'-x+1/2,-y+1/2,-z'
'-x+1/2,y+1/2,-z'
'x+1/2,-y+1/2,z'
loop_
_atom_site_label
_atom_site_fract_x
_atom_site_fract_y
_atom_site_fract_z
_atom_site_occupancy
Ce1 0.000 0.000 0.000 1
Dy1 0.046 0.500 0.238 1
Dy2 0.134 0.266 0.734 1
Dy3 0.188 0.000 0.234 1
Tm1 0.216 0.500 0.250 1